First-principles (GGA-PBE) data for PmSmAs2O8 after structural relaxation, as listed in the Alexandria database.

It has space group I-4 (No. 82), with a = 5.136 Å, b = 5.136 Å, c = 11.620 Å, α = 90.00°, β = 90.00° and γ = 90.00°. The inequivalent atoms are Pm at (0.000, 0.000, 0.000), Sm at (0.000, 0.500, 0.250), As at (0.000, 0.000, 0.500), As at (0.000, 0.500, 0.750), O at (0.141, 0.249, 0.422) and O at (0.142, 0.749, 0.828).

The size of the total moment is 0.00 μB/f.u. For the formation energy (no corrections), the calculation gives -2331.7 meV per atom. The density of states at the Fermi level is 0.000 states/eV/f.u. As for the calculated total energy: -7.20 eV/atom.